The following is a DFT calculation (PBE-GGA) of an optimized crystal structure of MnVNiPt.

Computed properties:
Magnetic moment in μB per cell: 1.8
ΔH_f (0 K) in eV/f.u.: -1.56
Uncorrected energy in eV for the cell shown: -31.7
DOS(E_F) in states/eV per cell: 1.77
Polymorph energy (0 for the lowest one) in eV per atom: 0.000

Cell lengths 3.695, 3.706, 3.822 Å; angles 90.00, 90.00, 90.00 degrees
Space group Pmmm (No. 47)
Inequivalent atoms, fractional coordinates:
Mn 0.000 0.000 0.000 x1
V 0.500 0.500 0.000 x1
Ni 0.000 0.500 0.500 x1
Pt 0.500 0.000 0.500 x1

=====

The following is a DFT calculation (PBE-GGA) of an optimized crystal structure of CrTc2Ag.

Computed properties:
Magnetic moment in μB per cell: 1.6
ΔH_f (0 K) in eV/f.u.: 2.00
Uncorrected energy in eV for the cell shown: -31.2
DOS(E_F) in states/eV per cell: 5.18
Polymorph energy (0 for the lowest one) in eV per atom: 0.195

Cell lengths 4.717, 2.783, 4.755 Å; angles 90.00, 108.73, 90.00 degrees
Space group P2/m (No. 10)
Inequivalent atoms, fractional coordinates:
Cr 0.000 0.000 0.000 x1
Tc 0.000 0.500 0.500 x1
Tc 0.500 0.000 0.500 x1
Ag 0.500 0.500 0.000 x1

=====

The following is a DFT calculation (PBE-GGA) of an optimized crystal structure of InMo2S2.

Computed properties:
Magnetic moment in μB per cell: 0.0
Uncorrected energy in eV for the cell shown: -63.4
DOS(E_F) in states/eV per cell: 11.08
Uncorrected formation energy in eV per formula unit: 1.0
Polymorph energy (0 for the lowest one) in eV per atom: 0.349

Cell lengths 7.588, 7.588, 2.921 Å; angles 90.00, 90.00, 90.00 degrees
Space group P4/mbm (No. 127)
Inequivalent atoms, fractional coordinates:
In 0.000 0.000 0.000 x2
Mo 0.137 0.363 0.500 x4
S 0.132 0.632 0.000 x4

=====

The following is a DFT calculation (PBE-GGA) of an optimized crystal structure of Zn2AsH.

Computed properties:
Magnetic moment in μB per cell: 0.0
Uncorrected energy in eV for the cell shown: -40.2
DOS(E_F) in states/eV per cell: 0.64
Polymorph energy (0 for the lowest one) in eV per atom: 0.100

Cell lengths 4.673, 4.673, 11.495 Å; angles 90.00, 90.00, 90.00 degrees
Space group I-42d (No. 122)
Inequivalent atoms, fractional coordinates:
Zn 0.156 0.250 0.125 x8
As 0.000 0.000 0.500 x4
H 0.000 0.000 0.000 x4

=====

The following is a DFT calculation (PBE-GGA) of an optimized crystal structure of LaBeAgPd2.

Computed properties:
Magnetic moment in μB per cell: 0.0
ΔH_f (0 K) in eV/f.u.: -2.10
Uncorrected energy in eV for the cell shown: -24.0
DOS(E_F) in states/eV per cell: 3.20

Cell lengths 4.564, 4.564, 4.518 Å; angles 90.00, 90.00, 90.00 degrees
Space group P4/mmm (No. 123)
Inequivalent atoms, fractional coordinates:
La 0.000 0.000 0.000 x1
Be 0.500 0.500 0.500 x1
Ag 0.500 0.500 0.000 x1
Pd 0.000 0.500 0.500 x2

=====

The following is a DFT calculation (PBE-GGA) of an optimized crystal structure of ErTm2Ga2.

Computed properties:
Magnetic moment in μB per cell: 0.0
ΔH_f (0 K) in eV/f.u.: -2.57
Uncorrected energy in eV for the cell shown: -44.3
DOS(E_F) in states/eV per cell: 10.32
Polymorph energy (0 for the lowest one) in eV per atom: 0.000

Cell lengths 7.598, 7.598, 4.220 Å; angles 90.00, 90.00, 90.00 degrees
Space group P4/mbm (No. 127)
Inequivalent atoms, fractional coordinates:
Er 0.000 0.000 0.000 x2
Tm 0.175 0.325 0.500 x4
Ga 0.121 0.621 0.000 x4

=====

The following is a DFT calculation (PBE-GGA) of an optimized crystal structure of Tl3In2Sn3.

Computed properties:
Magnetic moment in μB per cell: 0.0
ΔH_f (0 K) in eV/f.u.: 0.23
Uncorrected energy in eV for the cell shown: -48.7
DOS(E_F) in states/eV per cell: 5.61

Cell lengths 17.554, 5.262, 5.195 Å; angles 90.00, 107.15, 90.00 degrees
Space group C2/m (No. 12)
Inequivalent atoms, fractional coordinates:
Tl 0.000 0.000 0.000 x2
Tl 0.125 0.000 0.624 x4
In 0.248 0.000 0.247 x4
Sn 0.000 0.500 0.500 x2
Sn 0.132 0.500 0.133 x4

=====

The following is a DFT calculation (PBE-GGA) of an optimized crystal structure of RePb2O5.

Computed properties:
Magnetic moment in μB per cell: 3.7
Uncorrected energy in eV for the cell shown: -220.5
DOS(E_F) in states/eV per cell: 8.95
Uncorrected formation energy in eV per formula unit: -10.5
Polymorph energy (0 for the lowest one) in eV per atom: 0.031

Cell lengths 3.868, 13.255, 10.766 Å; angles 90.00, 90.00, 90.00 degrees
Space group Cmcm (No. 63)
Inequivalent atoms, fractional coordinates:
Re 0.000 0.149 0.250 x4
Pb 0.000 0.141 0.573 x8
O 0.000 0.055 0.122 x8
O 0.000 0.256 0.113 x8
O 0.000 0.342 0.750 x4